[1]
An optimized crystal structure of Li12Mg7Hg. Source: Alexandria, functional PBE.

Structure (POSCAR):
```
Li12Mg7Hg
1.0
5.3947 3.1147 4.0693
-5.3947 3.1147 4.0693
0.0000 -6.2293 4.0693
Li Mg Hg
12 7 1
direct
0.0087 0.8765 0.3577
0.1235 0.6423 0.9913
0.2426 0.3756 0.7538
0.2462 0.7574 0.6244
0.3577 0.0087 0.8765
0.3756 0.7538 0.2426
0.6244 0.2462 0.7574
0.6423 0.9913 0.1235
0.7538 0.2426 0.3756
0.7574 0.6244 0.2462
0.8765 0.3577 0.0087
0.9913 0.1235 0.6423
0.0000 0.0000 0.0000
0.1153 0.4384 0.3483
0.3483 0.1153 0.4384
0.4384 0.3483 0.1153
0.5616 0.6517 0.8847
0.6517 0.8847 0.5616
0.8847 0.5616 0.6517
0.5000 0.5000 0.5000
```

Results
The calculation puts the relative energy among the computed polymorphs at 0 meV per atom. The calculated formation energy comes out at -0.03 eV/atom. As for the space-group type: R-3.

[2]
An optimized crystal structure of Mn4NiTe. Source: Alexandria, functional PBE.

Structure (POSCAR):
```
Mn4NiTe
1.0
0.0000 3.4236 3.4236
3.4236 0.0000 3.4236
3.4236 3.4236 0.0000
Mn Ni Te
4 1 1
direct
0.1245 0.1245 0.1245
0.1245 0.1245 0.6265
0.1245 0.6265 0.1245
0.6265 0.1245 0.1245
0.7500 0.7500 0.7500
0.5000 0.5000 0.5000
```

Results
As for the space-group type: F-43m. Its formation energy without anion corrections is 447 meV/atom.

Ordered DFT total energy results: -1.750 -7.154; unit eV/atom.
Ordered DOS at the Fermi energy results: 9.4 11.1; unit states/eV/cell.